Density functional theory data (PBE) for Dy2Er5Tm3 after structural relaxation.

Geometry as POSCAR:
```
Dy2Er5Tm3
1.0
-1.560 1.132 6.209
-1.829 -8.719 7.404
7.868 3.945 7.531
Dy Er Tm
4 10 6
Cartesian
-1.299 -6.050 6.341 Dy
5.778 2.407 14.802 Dy
4.660 3.317 9.534 Dy
-0.181 -6.959 11.609 Dy
2.261 -2.586 9.015 Er
2.218 -1.057 12.129 Er
3.384 -3.495 14.304 Er
1.141 -1.671 3.726 Er
1.095 -0.147 6.840 Er
3.338 -1.971 17.418 Er
0.597 -3.573 6.352 Er
3.882 -0.070 14.791 Er
2.763 0.840 9.496 Er
1.716 -4.483 11.648 Er
-1.857 -7.964 8.961 Tm
6.336 4.321 12.183 Tm
5.610 0.601 11.695 Tm
-1.131 -4.244 9.449 Tm
-0.011 -5.155 14.735 Tm
4.490 1.512 6.408 Tm
```

calculated total energy	-4.4897	eV per atom
symmetry	C2/c, No. 15
formation energy from the elements	0.0536	eV per atom